Record 1
Below is a geometry-optimized TmPuAlSn structure, with properties calculated at the PBE level.

Computed properties:
M_tot: 1.464 μB/atom
D(E_F): 8.93 states/eV per cell
DFT total energy: -6.942 eV per atom

a = 5.1837 Å, b = 5.1837 Å, c = 5.1837 Å
α = 60.00°, β = 60.00°, γ = 60.00°
Last column: nearest neighbours and their distance in Å.
Element x y z (fractional)
Tm 0.0000 0.0000 0.0000  4 Sn 3.17, 4 Al 3.17
Pu 0.5000 0.5000 0.5000  4 Sn 3.17, 4 Al 3.17
Al 0.2500 0.2500 0.2500  4 Tm 3.17, 4 Pu 3.17
Sn 0.7500 0.7500 0.7500  4 Pu 3.17, 4 Tm 3.17

Record 2
Below is a geometry-optimized KCa4Ni structure, with properties calculated at the PBE level.

Computed properties:
M_tot: 0.054 μB/atom
D(E_F): 10.87 states/eV per cell
DFT total energy: -1.821 eV per atom

a = 7.0719 Å, b = 7.0719 Å, c = 7.0719 Å
α = 60.00°, β = 60.00°, γ = 60.00°
Last column: nearest neighbours and their distance in Å.
Element x y z (fractional)
K 0.0000 0.0000 0.0000  12 Ca 4.15, 4 Ni 4.33
Ca 0.3759 0.3759 0.3759  6 Ca 3.51-3.56
Ca 0.3759 0.3759 0.8722  6 Ca 3.51-3.56
Ca 0.3759 0.8722 0.3759  6 Ca 3.51-3.56
Ca 0.8722 0.3759 0.3759  6 Ca 3.51-3.56
Ni 0.7500 0.7500 0.7500  12 Ca 4.14, 4 K 4.33

Number 2 is which compound?
KCa4Ni

Number 2 is which compound?
KCa4Ni

Copy entry 1 word for word.
Below is a geometry-optimized TmPuAlSn structure, with properties calculated at the PBE level.

Computed properties:
M_tot: 1.464 μB/atom
D(E_F): 8.93 states/eV per cell
DFT total energy: -6.942 eV per atom

a = 5.1837 Å, b = 5.1837 Å, c = 5.1837 Å
α = 60.00°, β = 60.00°, γ = 60.00°
Last column: nearest neighbours and their distance in Å.
Element x y z (fractional)
Tm 0.0000 0.0000 0.0000  4 Sn 3.17, 4 Al 3.17
Pu 0.5000 0.5000 0.5000  4 Sn 3.17, 4 Al 3.17
Al 0.2500 0.2500 0.2500  4 Tm 3.17, 4 Pu 3.17
Sn 0.7500 0.7500 0.7500  4 Pu 3.17, 4 Tm 3.17